(1)
VASP calculation (PBE) on a geometry-optimized CaAsSe4 structure.

Cell lengths 5.765, 5.765, 5.765 Å; angles 60.00, 60.00, 60.00 degrees
Fractional positions:
Se (0.375, 0.874, 0.375)
Se (0.874, 0.375, 0.375)
Se (0.375, 0.375, 0.375)
Se (0.375, 0.375, 0.874)
As (0.750, 0.750, 0.750)
Ca (0.000, 0.000, 0.000)

Output
The value obtained for the density of states at the Fermi level is 0.455 states/eV/atom. For the total energy, the calculation gives -3.3599 eV per atom. Its space group is No. 216.

***

(2)
VASP calculation (PBE) on a geometry-optimized Ca4AsSe structure.

Cell lengths 6.298, 6.298, 6.298 Å; angles 60.00, 60.00, 60.00 degrees
Fractional positions:
Se (0.750, 0.750, 0.750)
Ca (0.877, 0.374, 0.374)
Ca (0.374, 0.374, 0.877)
Ca (0.374, 0.877, 0.374)
Ca (0.374, 0.374, 0.374)
As (0.000, 0.000, 0.000)

Output
The value obtained for the density of states at the Fermi level is 0.778 states/eV/atom. For the total energy, the calculation gives -2.7219 eV per atom. Its space group is No. 216.

***

(3)
VASP calculation (PBE) on a geometry-optimized Ca3As5Se12 structure.

Cell lengths 14.153, 14.153, 14.153 Å; angles 109.47, 109.47, 109.47 degrees
Fractional positions:
Ca (0.750, 0.375, 0.125)
Ca (0.375, 0.750, 0.625)
Ca (0.250, 0.625, 0.875)
Ca (0.875, 0.125, 0.250)
Ca (0.625, 0.375, 0.750)
Ca (0.375, 0.625, 0.250)
Ca (0.625, 0.250, 0.375)
Ca (0.250, 0.125, 0.375)
Ca (0.125, 0.250, 0.875)
Ca (0.750, 0.875, 0.625)
Ca (0.875, 0.750, 0.125)
Ca (0.125, 0.875, 0.750)
Se (0.791, 0.465, 0.373)
Se (0.627, 0.035, 0.209)
Se (0.675, 0.465, 0.592)
Se (0.083, 0.175, 0.209)
Se (0.408, 0.035, 0.325)
Se (0.417, 0.127, 0.592)
Se (0.675, 0.209, 0.583)
Se (0.465, 0.675, 0.092)
Se (0.873, 0.583, 0.908)
Se (0.092, 0.917, 0.127)
Se (0.291, 0.873, 0.965)
Se (0.791, 0.325, 0.917)
Se (0.709, 0.583, 0.175)
Se (0.127, 0.417, 0.092)
Se (0.325, 0.535, 0.408)
Se (0.373, 0.965, 0.791)
Se (0.965, 0.592, 0.175)
Se (0.908, 0.825, 0.535)
Se (0.209, 0.535, 0.627)
Se (0.873, 0.291, 0.465)
Se (0.583, 0.873, 0.408)
Se (0.175, 0.092, 0.965)
Se (0.291, 0.417, 0.825)
Se (0.465, 0.791, 0.873)
Se (0.083, 0.908, 0.373)
Se (0.408, 0.373, 0.583)
Se (0.592, 0.965, 0.675)
Se (0.175, 0.083, 0.709)
Se (0.917, 0.825, 0.791)
Se (0.709, 0.127, 0.035)
Se (0.092, 0.175, 0.465)
Se (0.417, 0.291, 0.325)
Se (0.325, 0.791, 0.417)
Se (0.908, 0.083, 0.873)
Se (0.627, 0.592, 0.917)
Se (0.592, 0.627, 0.417)
Se (0.035, 0.627, 0.709)
Se (0.535, 0.325, 0.908)
Se (0.535, 0.209, 0.127)
Se (0.583, 0.709, 0.675)
Se (0.917, 0.092, 0.627)
Se (0.373, 0.408, 0.083)
Se (0.127, 0.709, 0.535)
Se (0.825, 0.908, 0.035)
Se (0.965, 0.373, 0.291)
Se (0.035, 0.408, 0.825)
Se (0.209, 0.675, 0.083)
Se (0.825, 0.917, 0.291)
As (0.375, 0.250, 0.125)
As (0.625, 0.875, 0.250)
As (0.750, 0.125, 0.875)
As (0.250, 0.875, 0.125)
As (0.000, 0.500, 0.500)
As (0.500, 0.500, 0.500)
As (0.625, 0.750, 0.875)
As (0.000, 0.500, 0.000)
As (0.375, 0.125, 0.750)
As (0.000, 0.000, 0.500)
As (0.875, 0.625, 0.750)
As (0.125, 0.375, 0.250)
As (0.750, 0.625, 0.375)
As (0.875, 0.250, 0.625)
As (0.500, 0.500, 0.000)
As (0.125, 0.750, 0.375)
As (0.500, 0.000, 0.000)
As (0.500, 0.000, 0.500)
As (0.000, 0.000, 0.000)
As (0.250, 0.375, 0.625)

Output
The value obtained for the density of states at the Fermi level is 0.326 states/eV/atom. For the total energy, the calculation gives -4.1124 eV per atom. Its space group is No. 230.

***

(4)
VASP calculation (PBE) on a geometry-optimized Ca2AsSe structure.

Cell lengths 5.171, 5.171, 5.171 Å; angles 60.00, 60.00, 60.00 degrees
Fractional positions:
As (0.500, 0.500, 0.500)
Ca (0.250, 0.250, 0.250)
Ca (0.000, 0.000, 0.000)
Se (0.750, 0.750, 0.750)

Output
The value obtained for the density of states at the Fermi level is 1.101 states/eV/atom. The distance to the lowest polymorph of the same formula is 938 meV/atom. Its space group is No. 216.

***

(5)
VASP calculation (PBE) on a geometry-optimized CaAs3Se structure.

Cell lengths 5.074, 5.074, 5.074 Å; angles 90.00, 90.00, 90.00 degrees
Fractional positions:
Ca (0.500, 0.500, 0.500)
As (0.000, 0.000, 0.500)
As (0.000, 0.500, 0.000)
As (0.500, 0.000, 0.000)
Se (0.000, 0.000, 0.000)

Output
The value obtained for the density of states at the Fermi level is 0.898 states/eV/atom. The distance to the lowest polymorph of the same formula is 0 meV/atom. Its space group is No. 221.

***

(6)
VASP calculation (PBE) on a geometry-optimized Ca4As2Se structure.

Cell lengths 8.690, 8.690, 8.690 Å; angles 90.07, 119.96, 119.96 degrees
Fractional positions:
As (0.750, 0.375, 0.125)
As (0.250, 0.375, 0.625)
As (0.250, 0.875, 0.625)
As (0.750, 0.375, 0.625)
Ca (0.723, 0.585, 0.862)
Ca (0.277, 0.138, 0.415)
Ca (0.723, 0.138, 0.862)
Ca (0.777, 0.165, 0.388)
Ca (0.223, 0.612, 0.835)
Ca (0.277, 0.138, 0.862)
Ca (0.223, 0.612, 0.388)
Ca (0.777, 0.612, 0.388)
Se (0.000, 0.000, 0.000)
Se (0.500, 0.750, 0.250)

Output
The distance to the lowest polymorph of the same formula is 0 meV/atom. Its space group is No. 141.

***

(7)
VASP calculation (PBE) on a geometry-optimized Ca3AsSe structure.

Cell lengths 5.532, 5.532, 5.532 Å; angles 90.00, 90.00, 90.00 degrees
Fractional positions:
Ca (0.000, 0.500, 0.000)
Ca (0.500, 0.000, 0.000)
Ca (0.000, 0.000, 0.500)
As (0.000, 0.000, 0.000)
Se (0.500, 0.500, 0.500)

Output
The value obtained for the density of states at the Fermi level is 0.582 states/eV/atom. The distance to the lowest polymorph of the same formula is 0 meV/atom. Its space group is No. 221.

***

(8)
VASP calculation (PBE) on a geometry-optimized CaSiAs2Se structure.

Cell lengths 4.816, 4.816, 5.058 Å; angles 90.00, 90.00, 90.00 degrees
Fractional positions:
Si (0.000, 0.000, 0.000)
As (0.500, 0.000, 0.000)
As (0.000, 0.500, 0.000)
Se (0.000, 0.000, 0.500)
Ca (0.500, 0.500, 0.500)

Output
The value obtained for the density of states at the Fermi level is 0.973 states/eV/atom. The distance to the lowest polymorph of the same formula is 0 meV/atom. Its space group is No. 123.